15
Lattice="-2.882 5.955 -1.212 -3.440 -4.788 3.315 5.177 3.128 3.060" Properties=species:S:1:pos:R:3 comment="GGA+U Na3Dy3MoO8, optimized geometry" energy_ev_per_atom=-6.89 sg="C2/m (12)" pbc="T T T"
Na -1.720 -2.394 1.658
O -0.383 -1.209 5.110
O 1.438 1.380 3.360
Mo 2.588 1.564 1.530
Na 0.000 0.000 0.000
O -0.062 4.345 2.836
Dy 0.869 -0.830 3.188
O -0.762 5.504 0.054
Na -3.161 0.583 1.052
Dy 1.148 4.542 0.924
O -2.583 2.915 1.803
O 0.804 2.269 0.712
O -1.948 2.026 4.451
Dy -0.572 2.147 2.582
O -1.083 -0.050 2.327